(1)
The following is a DFT calculation (PBE with a Hubbard U) of a relaxed structure of MnBeCdO2.

## Properties
Space group = P4/mmm (123)
Energy above the lowest structure with this stoichiometry = 0 meV per atom
D(E_F) = 0.31 states/eV per atom

Cell lengths 3.6996, 3.6996, 4.7445 Å; angles 90.00, 90.00, 90.00 degrees
Positions (direct):
Mn1 0.0000 0.0000 0.0000
Be1 0.5000 0.5000 0.5000
Cd1 0.5000 0.5000 0.0000
O1 0.0000 0.5000 0.5000
O2 0.5000 0.0000 0.5000

=====

(2)
The following is a DFT calculation (PBE with a Hubbard U) of a relaxed structure of MnBe2CdO.

## Properties
Calculated total energy = -2.93 eV per atom
Space group = P4/mmm (123)
D(E_F) = 0.62 states/eV per atom

Cell lengths 4.3419, 4.3419, 5.3689 Å; angles 90.00, 90.00, 90.00 degrees
Positions (direct):
Mn1 0.0000 0.0000 0.0000
Be1 0.0000 0.5000 0.5000
Be2 0.5000 0.0000 0.5000
Cd1 0.0000 0.0000 0.5000
O1 0.5000 0.5000 0.0000

=====

(3)
The following is a DFT calculation (PBE with a Hubbard U) of a relaxed structure of MnBeCdO2.

## Properties
Space group = P4/mmm (123)
Energy above the lowest structure with this stoichiometry = 708 meV per atom
D(E_F) = 0.32 states/eV per atom

Cell lengths 4.2809, 4.2809, 4.4181 Å; angles 90.00, 90.00, 90.00 degrees
Positions (direct):
Mn1 0.0000 0.0000 0.0000
Be1 0.5000 0.5000 0.0000
Cd1 0.5000 0.5000 0.5000
O1 0.0000 0.5000 0.5000
O2 0.5000 0.0000 0.5000